[1]
SiAuBr4 | PBE | relaxed

- Symmetry: F-43m

Cell lengths 6.141, 6.141, 6.141 Å; angles 60.00, 60.00, 60.00 degrees
Element x y z (fractional)
Si: 0.000 0.000 0.000
Au: 0.750 0.750 0.750
Br: 0.376 0.376 0.376
Br: 0.376 0.376 0.871
Br: 0.376 0.871 0.376
Br: 0.871 0.376 0.376


[2]
Ta2SiAuBr | PBE | relaxed

- Symmetry: P4/mmm

Cell lengths 4.717, 4.717, 4.835 Å; angles 90.00, 90.00, 90.00 degrees
Element x y z (fractional)
Ta: 0.000 0.500 0.000
Ta: 0.500 0.000 0.000
Si: 0.000 0.000 0.500
Au: 0.500 0.500 0.500
Br: 0.000 0.000 0.000


no.,raw formation energy (eV per atom),DFT total energy (Ry per atom)
1,1.028,-0.11297
2,1.638,-0.38059